# Li4Ti3Mn3W2O16 (SCAN, single point on PBEsol structure)
# V, Å³ per atom: 10.513
# Energy relative to the elements, uncorrected, eV/atom: -2.509
# Fermi-level density of states, states/eV per cell: 8.4
data_Li4Ti3Mn3W2O16
_space_group_name_H-M_alt 'C 1 m 1'
_space_group_IT_number 8
_space_group_name_Hall 'C -2y'
_cell_length_a 10.2967
_cell_length_b 5.9000
_cell_length_c 9.6947
_cell_angle_alpha 90.00
_cell_angle_beta 91.53
_cell_angle_gamma 90.00
loop_
_atom_site_label
_atom_site_type_symbol
_atom_site_fract_x
_atom_site_fract_y
_atom_site_fract_z
_atom_site_occupancy
Li1 Li 0.0000 0.0000 0.0000 1
Li2 Li 0.0069 0.0000 0.5060 1
Li3 Li 0.1602 0.5000 0.9206 1
Li4 Li 0.3323 0.0000 0.4210 1
Ti1 Ti 0.0899 0.2510 0.2308 1
Ti2 Ti 0.1718 0.0000 0.7377 1
Mn1 Mn 0.3320 0.5000 0.2237 1
Mn2 Mn 0.4153 0.2445 0.7226 1
W1 W 0.1700 0.5000 0.5020 1
W2 W 0.3381 0.0000 0.9990 1
O1 O 0.0019 0.0000 0.8133 1
O2 O 0.0037 0.0000 0.3202 1
O3 O 0.0216 0.5000 0.3571 1
O4 O 0.0978 0.2551 0.6064 1
O5 O 0.1613 0.5000 0.1223 1
O6 O 0.1713 0.0000 0.1163 1
O7 O 0.2364 0.2750 0.3602 1
O8 O 0.2506 0.2177 0.8692 1
O9 O 0.3248 0.0000 0.6234 1
O10 O 0.3340 0.5000 0.5911 1
O11 O 0.4233 0.2377 0.1045 1
O12 O 0.4758 0.0000 0.8659 1



# Li2MnVO4 (SCAN, single point on PBEsol structure)
# V, Å³ per atom: 8.933
# Energy relative to the elements, uncorrected, eV/atom: -2.392
# Fermi-level density of states, states/eV per cell: 0.5
data_Li2MnVO4
_space_group_name_H-M_alt 'P 1 2/m 1'
_space_group_IT_number 10
_space_group_name_Hall '-P 2y'
_cell_length_a 5.1783
_cell_length_b 2.8330
_cell_length_c 5.2895
_cell_angle_alpha 90.00
_cell_angle_beta 112.94
_cell_angle_gamma 90.00
loop_
_atom_site_label
_atom_site_type_symbol
_atom_site_fract_x
_atom_site_fract_y
_atom_site_fract_z
_atom_site_occupancy
Li1 Li 0.0000 0.0000 0.0000 1
Li2 Li 0.0000 0.5000 0.5000 1
Mn1 Mn 0.5000 0.0000 0.5000 1
V1 V 0.5000 0.5000 0.0000 1
O1 O 0.2531 0.0000 0.7656 1
O2 O 0.2888 0.5000 0.2461 1



# Li3MnV2O6 (SCAN, single point on PBEsol structure)
# V, Å³ per atom: 8.196
# Energy relative to the elements, uncorrected, eV/atom: -2.411
# Fermi-level density of states, states/eV per cell: 6.1
data_Li3MnV2O6
_space_group_name_H-M_alt 'C 1 2/m 1'
_space_group_IT_number 12
_space_group_name_Hall '-C 2y'
_cell_length_a 12.8203
_cell_length_b 2.7685
_cell_length_c 5.8210
_cell_angle_alpha 90.00
_cell_angle_beta 107.80
_cell_angle_gamma 90.00
loop_
_atom_site_label
_atom_site_type_symbol
_atom_site_fract_x
_atom_site_fract_y
_atom_site_fract_z
_atom_site_occupancy
Li1 Li 0.0000 0.0000 0.0000 1
Li2 Li 0.1625 0.5000 0.3467 1
Mn1 Mn 0.0000 0.0000 0.5000 1
V1 V 0.1797 0.5000 0.8681 1
O1 O 0.0082 0.5000 0.7341 1
O2 O 0.1586 0.0000 0.6044 1
O3 O 0.1608 0.0000 0.0946 1



# Li5Mn5V2O12 (SCAN, single point on PBEsol structure)
# V, Å³ per atom: 8.541
# Energy relative to the elements, uncorrected, eV/atom: -2.264
# Fermi-level density of states, states/eV per cell: 9.8
data_Li5Mn5V2O12
_space_group_name_H-M_alt 'C 1 2 1'
_space_group_IT_number 5
_space_group_name_Hall 'C 2y'
_cell_length_a 4.9325
_cell_length_b 8.6114
_cell_length_c 9.7800
_cell_angle_alpha 90.00
_cell_angle_beta 99.27
_cell_angle_gamma 90.00
loop_
_atom_site_label
_atom_site_type_symbol
_atom_site_fract_x
_atom_site_fract_y
_atom_site_fract_z
_atom_site_occupancy
Li1 Li 0.0000 0.0000 0.0000 1
Li2 Li 0.2402 0.8406 0.2434 1
Li3 Li 0.2459 0.5014 0.2391 1
Mn1 Mn 0.0000 0.3394 0.0000 1
Mn2 Mn 0.0000 0.5092 0.5000 1
Mn3 Mn 0.0000 0.8555 0.5000 1
Mn4 Mn 0.2420 0.1663 0.2380 1
V1 V 0.0000 0.1539 0.5000 1
V2 V 0.0000 0.6713 0.0000 1
O1 O 0.1060 0.0068 0.3620 1
O2 O 0.1183 0.6718 0.3802 1
O3 O 0.1217 0.5011 0.8827 1
O4 O 0.1300 0.1774 0.8818 1
O5 O 0.1324 0.3380 0.3899 1
O6 O 0.1389 0.8354 0.8816 1